(1)
Crystalline KCu2Ni at its relaxed geometry, computed with PBE-GGA.

The calculation puts the formation energy from the elements at 849 meV/atom. The value obtained for the density of states at the Fermi level is 7.0 states/eV per cell.

a = 6.514 Å, b = 6.514 Å, c = 6.514 Å
α = 90.00°, β = 90.00°, γ = 90.00°
Space group Fm-3m (No. 225)
Unique sites:
K: 0.000 0.000 0.000 x4
Cu: 0.250 0.250 0.250 x8
Ni: 0.000 0.000 0.500 x4



(2)
Crystalline Hg6PdAu3 at its relaxed geometry, computed with PBE-GGA.

The calculation puts the formation energy from the elements at 29 meV/atom. The value obtained for the density of states at the Fermi level is 6.9 states/eV per cell.

a = 8.083 Å, b = 6.265 Å, c = 11.240 Å
α = 90.00°, β = 126.88°, γ = 90.00°
Space group P2_1/c (No. 14)
Unique sites:
Hg: 0.073 0.122 0.267 x4
Hg: 0.232 0.131 0.592 x4
Hg: 0.384 0.592 0.555 x4
Pd: 0.000 0.000 0.000 x2
Au: 0.291 0.739 0.252 x4
Au: 0.500 0.000 0.500 x2



(3)
Crystalline La2InTc at its relaxed geometry, computed with PBE-GGA.

The calculation puts the formation energy from the elements at 85 meV/atom. The value obtained for the density of states at the Fermi level is 13.0 states/eV per cell.

a = 8.499 Å, b = 8.499 Å, c = 6.133 Å
α = 90.00°, β = 90.00°, γ = 90.00°
Space group I-42d (No. 122)
Unique sites:
La: 0.180 0.250 0.125 x8
In: 0.000 0.000 0.500 x4
Tc: 0.000 0.000 0.000 x4



(4)
Crystalline Nd2Tl2OsO6 at its relaxed geometry, computed with PBE-GGA.

The value obtained for the density of states at the Fermi level is 6.9 states/eV per cell. Its formation energy (no corrections) is -169.6 kJ/mol of atoms.

a = 5.966 Å, b = 10.462 Å, c = 7.186 Å
α = 90.00°, β = 93.11°, γ = 90.00°
Space group C2/m (No. 12)
Unique sites:
Nd: 0.000 0.164 0.000 x4
Tl: 0.000 0.349 0.500 x4
Os: 0.000 0.500 0.000 x2
O: 0.151 0.354 0.146 x8
O: 0.221 0.000 0.147 x4



(5)
Crystalline CeEr3Tm6 at its relaxed geometry, computed with PBE-GGA.

The calculation puts the formation energy from the elements at 160 meV/atom. The value obtained for the density of states at the Fermi level is 64.6 states/eV per cell.

a = 9.295 Å, b = 14.965 Å, c = 8.866 Å
α = 90.00°, β = 90.00°, γ = 90.00°
Space group Cmc2_1 (No. 36)
Unique sites:
Ce: 0.000 0.229 0.000 x4
Er: 0.000 0.455 0.085 x4
Er: 0.172 0.142 0.569 x8
Tm: 0.000 0.056 0.213 x4
Tm: 0.000 0.289 0.356 x4
Tm: 0.179 0.349 0.731 x8
Tm: 0.236 0.062 0.901 x8



(6)
Crystalline Sc2ZnFe2Rh5 at its relaxed geometry, computed with PBE-GGA.

The calculation puts the formation energy from the elements at -381 meV/atom. The value obtained for the density of states at the Fermi level is 17.1 states/eV per cell.

a = 9.169 Å, b = 9.169 Å, c = 3.665 Å
α = 90.00°, β = 90.00°, γ = 90.00°
Space group P4/mbm (No. 127)
Unique sites:
Sc: 0.173 0.327 0.000 x4
Zn: 0.000 0.000 0.000 x2
Fe: 0.127 0.627 0.000 x4
Rh: 0.000 0.500 0.500 x2
Rh: 0.069 0.797 0.500 x8



no.,size of the total moment (μB/f.u.)
1,0.0
2,0.0
3,0.0
4,2.5
5,1.1
6,6.2